1.
BiMo2C after structural relaxation. Source: the Open Quantum Materials Database, functional GGA-PBE.

Cell: 3.295 3.295 13.613 Å, 90.00 90.00 120.00°
Positions (direct):
Bi  0.333  0.667  0.250
Bi  0.667  0.333  0.750
Mo  0.333  0.667  0.576
Mo  0.333  0.667  0.924
Mo  0.667  0.333  0.076
Mo  0.667  0.333  0.424
C  0.000  0.000  0.000
C  0.000  0.000  0.500

## Properties
M_tot	0.018	μB per formula unit
symmetry	P6_3/mmc, No. 194
E	-8.47	eV/atom



2.
Nb4Bi3Mo2C3 after structural relaxation. Source: the Open Quantum Materials Database, functional GGA-PBE.

Cell: 5.799 5.799 14.111 Å, 102.36 102.36 59.97°
Positions (direct):
Nb  0.026  0.196  0.080
Nb  0.141  0.305  0.420
Nb  0.196  0.026  0.580
Nb  0.305  0.141  0.920
Nb  0.695  0.859  0.080
Nb  0.804  0.974  0.420
Nb  0.859  0.695  0.580
Nb  0.974  0.804  0.920
Bi  0.089  0.911  0.250
Bi  0.257  0.416  0.750
Bi  0.416  0.257  0.250
Bi  0.584  0.743  0.750
Bi  0.743  0.584  0.250
Bi  0.911  0.089  0.750
Mo  0.362  0.528  0.076
Mo  0.472  0.638  0.424
Mo  0.528  0.362  0.576
Mo  0.638  0.472  0.924
C  0.000  0.500  0.000
C  0.170  0.664  0.500
C  0.336  0.830  0.000
C  0.500  0.000  0.500
C  0.664  0.170  0.000
C  0.830  0.336  0.500

## Properties
M_tot	0.009	μB per formula unit
symmetry	C2/c, No. 15
E	-8.54	eV/atom



3.
BiMo4PbC2 after structural relaxation. Source: the Open Quantum Materials Database, functional GGA-PBE.

Cell: 3.262 3.262 13.722 Å, 90.00 90.00 120.00°
Positions (direct):
Bi  0.000  0.000  0.000
Mo  0.000  0.000  0.327
Mo  0.000  0.000  0.673
Mo  0.333  0.667  0.174
Mo  0.333  0.667  0.826
Pb  0.333  0.667  0.500
C  0.667  0.333  0.249
C  0.667  0.333  0.751

## Properties
M_tot	0.004	μB per formula unit
symmetry	P-6m2, No. 187
E	-8.46	eV/atom



4.
BiMo4C2S after structural relaxation. Source: the Open Quantum Materials Database, functional GGA-PBE.

Cell: 3.290 3.290 12.559 Å, 90.00 90.00 120.00°
Positions (direct):
Bi  0.000  0.000  0.000
Mo  0.000  0.000  0.362
Mo  0.000  0.000  0.638
Mo  0.333  0.667  0.199
Mo  0.333  0.667  0.801
C  0.667  0.333  0.271
C  0.667  0.333  0.729
S  0.333  0.667  0.500

## Properties
M_tot	0.002	μB per formula unit
symmetry	P-6m2, No. 187
E	-8.68	eV/atom



5.
BiMo4C2S after structural relaxation. Source: the Open Quantum Materials Database, functional GGA-PBE.

Cell: 3.291 3.291 12.533 Å, 90.00 90.00 120.00°
Positions (direct):
Bi  0.000  0.000  0.000
Mo  0.000  0.000  0.362
Mo  0.000  0.000  0.638
Mo  0.667  0.333  0.199
Mo  0.667  0.333  0.801
C  0.333  0.667  0.271
C  0.333  0.667  0.729
S  0.667  0.333  0.500

## Properties
M_tot	0.003	μB per formula unit
symmetry	P-6m2, No. 187
E	-8.68	eV/atom



6.
Sc2Bi3Mo4C3 after structural relaxation. Source: the Open Quantum Materials Database, functional GGA-PBE.

Cell: 5.815 5.815 14.024 Å, 98.72 98.72 60.57°
Positions (direct):
Sc  0.026  0.864  0.589
Sc  0.136  0.974  0.911
Sc  0.864  0.026  0.089
Sc  0.974  0.136  0.411
Bi  0.073  0.278  0.744
Bi  0.278  0.073  0.244
Bi  0.433  0.567  0.750
Bi  0.567  0.433  0.250
Bi  0.722  0.927  0.756
Bi  0.927  0.722  0.256
Mo  0.189  0.335  0.067
Mo  0.307  0.502  0.430
Mo  0.335  0.189  0.567
Mo  0.498  0.693  0.070
Mo  0.502  0.307  0.930
Mo  0.665  0.811  0.433
Mo  0.693  0.498  0.570
Mo  0.811  0.665  0.933
C  0.000  0.500  0.500
C  0.172  0.651  0.999
C  0.349  0.828  0.501
C  0.500  0.000  0.000
C  0.651  0.172  0.499
C  0.828  0.349  0.001

## Properties
M_tot	0.002	μB per formula unit
symmetry	C2/c, No. 15
E	-8.11	eV/atom



Copy entry 5 word for word.
BiMo4C2S after structural relaxation. Source: the Open Quantum Materials Database, functional GGA-PBE.

Cell: 3.291 3.291 12.533 Å, 90.00 90.00 120.00°
Positions (direct):
Bi  0.000  0.000  0.000
Mo  0.000  0.000  0.362
Mo  0.000  0.000  0.638
Mo  0.667  0.333  0.199
Mo  0.667  0.333  0.801
C  0.333  0.667  0.271
C  0.333  0.667  0.729
S  0.667  0.333  0.500

## Properties
M_tot	0.003	μB per formula unit
symmetry	P-6m2, No. 187
E	-8.68	eV/atom



Question: Which value of E does entry 4 give?
Answer: -8.68 eV/atom



Question: Which of these has the highest E?
Answer: Sc2Bi3Mo4C3



Repeat the first record exactly.
BiMo2C after structural relaxation. Source: the Open Quantum Materials Database, functional GGA-PBE.

Cell: 3.295 3.295 13.613 Å, 90.00 90.00 120.00°
Positions (direct):
Bi  0.333  0.667  0.250
Bi  0.667  0.333  0.750
Mo  0.333  0.667  0.576
Mo  0.333  0.667  0.924
Mo  0.667  0.333  0.076
Mo  0.667  0.333  0.424
C  0.000  0.000  0.000
C  0.000  0.000  0.500

## Properties
M_tot	0.018	μB per formula unit
symmetry	P6_3/mmc, No. 194
E	-8.47	eV/atom